Record 1
Material: TlCu2Br
Method: DFT, PBE
State: relaxed

Total DFT energy (no corrections) = -2.974 eV/atom
SG = Cm
V = 97.0 Å³/f.u.
Raw formation energy = 84 meV/atom
ΔE to the lowest computed polymorph = 35 meV/atom

abc: 6.4488 6.4488 4.4271
angles: 90.32 90.32 31.80
Atoms (fractional coordinates):
Cu1 0.9787 0.9787 0.0002
Cu2 0.3393 0.3393 0.9988
Br1 0.7027 0.7027 0.0005
Tl1 0.4793 0.4793 0.5006

---

Record 2
Material: Sm3ErCd
Method: DFT, PBE
State: relaxed

Total DFT energy (no corrections) = -3.882 eV/atom
SG = C2/c
V = 157.4 Å³/f.u.
Energy of formation from the pure elements = 0.046 eV per atom
ΔE to the lowest computed polymorph = 145 meV/atom

abc: 6.7294 9.7346 9.7346
angles: 88.10 96.39 96.39
Atoms (fractional coordinates):
Er1 0.8668 0.5834 0.2099
Er2 0.3668 0.2099 0.5834
Er3 0.1332 0.4166 0.7901
Er4 0.6332 0.7901 0.4166
Cd1 0.7500 0.9761 0.0239
Cd2 0.2500 0.7922 0.2078
Cd3 0.7500 0.2078 0.7922
Cd4 0.2500 0.0239 0.9761
Sm1 0.6108 0.5290 0.6761
Sm2 0.5310 0.1129 0.2734
Sm3 0.0278 0.0067 0.3317
Sm4 0.8892 0.3239 0.4710
Sm5 0.3892 0.4710 0.3239
Sm6 0.1108 0.6761 0.5290
Sm7 0.5278 0.3317 0.0067
Sm8 0.0310 0.2734 0.1129
Sm9 0.4722 0.6683 0.9933
Sm10 0.4690 0.8871 0.7266
Sm11 0.9722 0.9933 0.6683
Sm12 0.9690 0.7266 0.8871